Entry 1:
BaAcPrIn | PBE | relaxed

The structure in POSCAR format:
```
BaAcPrIn
1.0
0.0000 4.2383 4.2383
4.2383 0.0000 4.2383
4.2383 4.2383 0.0000
Ba Ac Pr In
1 1 1 1
Direct
0.0000 0.0000 0.0000
0.2500 0.2500 0.2500
0.5000 0.5000 0.5000
0.7500 0.7500 0.7500
```

Output
* symmetry: F-43m (216)
* ΔE_f: 11 meV per atom
* DOS at the Fermi energy: 1.358 states/eV per atom
* magnetic moment: 0.0 μB per cell
* calculated density: 6.76 g/cm³
* DFT total energy: -3.376 eV/atom

Entry 2:
Sm4Er3PaAs8 | PBE | relaxed

The structure in POSCAR format:
```
Sm4Er3PaAs8
1.0
4.1413 2.3910 6.7827
-4.1413 2.3910 6.7827
0.0000 -4.7820 6.7827
Sm Er Pa As
4 3 1 8
Direct
0.0000 0.0000 0.0000
0.0000 0.5000 0.5000
0.5000 0.0000 0.5000
0.5000 0.5000 0.0000
0.0000 0.0000 0.5000
0.0000 0.5000 0.0000
0.5000 0.0000 0.0000
0.5000 0.5000 0.5000
0.2472 0.2472 0.2472
0.2490 0.7453 0.7453
0.2547 0.2547 0.7510
0.2547 0.7510 0.2547
0.7453 0.2490 0.7453
0.7453 0.7453 0.2490
0.7510 0.2547 0.2547
0.7528 0.7528 0.7528
```

Output
* symmetry: R-3m (166)
* ΔE_f: -1475 meV per atom
* DOS at the Fermi energy: 0.326 states/eV per atom
* magnetic moment: 0.0 μB per cell
* calculated density: 7.97 g/cm³
* DFT total energy: -6.428 eV/atom

Entry 3:
PmDyC | PBE | relaxed

The structure in POSCAR format:
```
PmDyC
1.0
3.6086 0.0000 0.0000
-1.8043 3.1251 0.0000
0.0000 0.0000 6.4552
Pm Dy C
1 1 1
Direct
0.0000 0.0000 0.0000
0.3333 0.6667 0.4273
0.6667 0.3333 0.2258
```

Output
* symmetry: P3m1 (156)
* ΔE_f: -191 meV per atom
* DOS at the Fermi energy: 0.840 states/eV per atom
* magnetic moment: 0.0 μB per cell
* calculated density: 7.29 g/cm³
* DFT total energy: -6.383 eV/atom
* distance to the lowest polymorph of the same formula: 13 meV/atom

Entry 4:
Mg2AsS | PBE | relaxed

The structure in POSCAR format:
```
Mg2AsS
1.0
0.0000 3.3470 3.3470
3.3470 0.0000 3.3470
3.3470 3.3470 0.0000
Mg As S
2 1 1
Direct
0.2500 0.2500 0.2500
0.7500 0.7500 0.7500
0.0000 0.0000 0.0000
0.5000 0.5000 0.5000
```

Output
* symmetry: Fm-3m (225)
* DOS at the Fermi energy: 0.649 states/eV per atom
* magnetic moment: 0.0 μB per cell
* calculated density: 3.45 g/cm³
* DFT total energy: -3.372 eV/atom

Entry 5:
SbTe2SeF | PBE | relaxed

The structure in POSCAR format:
```
SbTe2SeF
1.0
5.4343 0.0000 0.0000
0.0000 5.4343 0.0000
0.0000 0.0000 5.4413
Sb Te Se F
1 2 1 1
Direct
0.0000 0.0000 0.0000
0.0000 0.5000 0.5000
0.5000 0.0000 0.5000
0.0000 0.0000 0.5000
0.5000 0.5000 0.0000
```

Output
* symmetry: P4/mmm (123)
* DOS at the Fermi energy: 0.883 states/eV per atom
* magnetic moment: 0.0 μB per cell
* calculated density: 4.91 g/cm³
* DFT total energy: -2.762 eV/atom
* distance to the lowest polymorph of the same formula: 213 meV/atom

Entry 6:
Pm6GeBi2Te3 | PBE | relaxed

The structure in POSCAR format:
```
Pm6GeBi2Te3
1.0
9.7860 -2.2342 0.0000
9.7860 2.2342 0.0000
-2.0379 0.0000 8.7628
Pm Ge Bi Te
6 1 2 3
Direct
0.0010 0.0010 0.2745
0.3346 0.3346 0.9179
0.3451 0.3451 0.4224
0.6549 0.6549 0.5776
0.6654 0.6654 0.0821
0.9990 0.9990 0.7255
0.5000 0.5000 0.5000
0.1667 0.1667 0.8335
0.8333 0.8333 0.1665
0.1703 0.1703 0.3354
0.5000 0.5000 0.0000
0.8297 0.8297 0.6646
```

Output
* symmetry: C2/m (12)
* DOS at the Fermi energy: 0.364 states/eV per atom
* magnetic moment: 0.0 μB per cell
* calculated density: 7.56 g/cm³
* DFT total energy: -5.407 eV/atom

Entry 7:
LaPuSe2 | PBE | relaxed

The structure in POSCAR format:
```
LaPuSe2
1.0
0.0000 3.6684 3.6684
3.6684 0.0000 3.6684
3.6684 3.6684 0.0000
La Pu Se
1 1 2
Direct
0.0000 0.0000 0.0000
0.5000 0.5000 0.5000
0.2500 0.2500 0.2500
0.7500 0.7500 0.7500
```

Output
* symmetry: Fm-3m (225)
* DOS at the Fermi energy: 1.433 states/eV per atom
* magnetic moment: 6.8 μB per cell
* calculated density: 9.10 g/cm³
* DFT total energy: -8.067 eV/atom
* distance to the lowest polymorph of the same formula: 257 meV/atom

Entry 8:
Nd6TmIn5 | PBE | relaxed

The structure in POSCAR format:
```
Nd6TmIn5
1.0
-2.5308 4.5680 7.6417
2.5308 -4.5680 7.6417
2.5308 4.5680 -7.6417
Nd Tm In
6 1 5
Direct
0.0693 0.3294 0.7399
0.2349 0.0000 0.2349
0.4105 0.6706 0.7399
0.5895 0.3294 0.2601
0.7651 0.0000 0.7651
0.9307 0.6706 0.2601
0.5000 0.5000 0.0000
0.0000 0.5000 0.5000
0.1719 0.1719 0.0000
0.3473 0.8473 0.5000
0.6527 0.1527 0.5000
0.8281 0.8281 0.0000
```

Output
* symmetry: Immm (71)
* ΔE_f: -393 meV per atom
* DOS at the Fermi energy: 0.966 states/eV per atom
* magnetic moment: 0.0 μB per cell
* calculated density: 7.56 g/cm³
* DFT total energy: -4.291 eV/atom

The highest DOS at the Fermi energy belongs to which entry? LaPuSe2